# 1
Density functional theory data (PBE) for Pr7Zn2Ag2 after structural relaxation.

Cell: 7.675 11.225 7.958 Å, 90.00 90.00 90.00°
Space group Cmmm (No. 65)
Asymmetric unit:
Pr (0.000, 0.000, 0.000)
Pr (0.000, 0.500, 0.253)
Pr (0.250, 0.250, 0.284)
Zn (0.000, 0.288, 0.000)
Ag (0.177, 0.000, 0.500)

Its formation energy is 0.38 eV per formula unit.



# 2
Density functional theory data (PBE) for TmLuScIr after structural relaxation.

Cell: 7.017 7.017 7.017 Å, 90.00 90.00 90.00°
Space group F-43m (No. 216)
Asymmetric unit:
Tm (0.000, 0.000, 0.000)
Lu (0.000, 0.000, 0.500)
Sc (0.250, 0.250, 0.250)
Ir (0.250, 0.250, 0.750)

Its formation energy is -1.36 eV per formula unit.



# 3
Density functional theory data (PBE) for Mn2CrP after structural relaxation.

Cell: 6.476 6.476 5.084 Å, 90.00 90.00 90.00°
Space group I-42d (No. 122)
Asymmetric unit:
Mn (0.228, 0.250, 0.125)
Cr (0.000, 0.000, 0.500)
P (0.000, 0.000, 0.000)

Its formation energy is 0.93 eV per formula unit.



# 4
Density functional theory data (PBE) for FePb after structural relaxation.

Cell: 4.008 3.384 6.533 Å, 90.00 90.00 90.00°
Space group Pmma (No. 51)
Asymmetric unit:
Fe (0.250, 0.000, 0.101)
Pb (0.250, 0.500, 0.726)

Its formation energy is 1.04 eV per formula unit.



# 5
Density functional theory data (PBE) for Ba4NaHAu after structural relaxation.

Cell: 7.432 8.342 10.347 Å, 90.00 108.68 90.00°
Space group P2_1/m (No. 11)
Asymmetric unit:
Ba (0.126, 0.250, 0.059)
Ba (0.245, 0.750, 0.353)
Ba (0.321, 0.002, 0.787)
Na (0.180, 0.250, 0.437)
H (0.110, 0.250, 0.802)
Au (0.339, 0.750, 0.046)

The electronic total energy comes out at -2.54 eV per atom.



# 6
Density functional theory data (PBE) for DyScFe4 after structural relaxation.

Cell: 7.103 7.103 7.103 Å, 90.00 90.00 90.00°
Space group F-43m (No. 216)
Asymmetric unit:
Dy (0.000, 0.000, 0.000)
Sc (0.250, 0.250, 0.750)
Fe (0.125, 0.125, 0.375)

Its formation energy is -0.97 eV per formula unit.